No. 1
# Ce2VP (PBE, optimized geometry)
# VASP energy (eV per atom): -6.417
# Theoretical density (Mg/m³): 7.46
# Crystal system: trigonal
data_Ce2VP
_chemical_formula_sum 'Ce6 V3 P3'
_symmetry_space_group_name_H-M 'R -3 m'
_symmetry_Int_Tables_number 166
_symmetry_space_group_name_Hall '-R 3 2"'
_cell_length_a 3.0760
_cell_length_b 3.0760
_cell_length_c 29.4994
_cell_angle_alpha 90.00
_cell_angle_beta 90.00
_cell_angle_gamma 120.00
loop_
_atom_site_label
_atom_site_type_symbol
_atom_site_fract_x
_atom_site_fract_y
_atom_site_fract_z
Ce1 Ce 0.0000 0.0000 0.0871
V1 V 0.0000 0.0000 0.0000
P1 P 0.0000 0.0000 0.5000

No. 2
# Nd2Zn12Cu3Au (PBE, optimized geometry)
# VASP energy (eV per atom): -2.286
# Theoretical density (Mg/m³): 7.33
# Crystal system: trigonal
data_Nd2Zn12Cu3Au
_chemical_formula_sum 'Nd6 Zn36 Cu9 Au3'
_symmetry_space_group_name_H-M 'R -3 m'
_symmetry_Int_Tables_number 166
_symmetry_space_group_name_Hall '-R 3 2"'
_cell_length_a 6.0744
_cell_length_b 6.0744
_cell_length_c 31.0597
_cell_angle_alpha 90.00
_cell_angle_beta 90.00
_cell_angle_gamma 120.00
loop_
_atom_site_label
_atom_site_type_symbol
_atom_site_fract_x
_atom_site_fract_y
_atom_site_fract_z
Nd1 Nd 0.0000 0.0000 0.1401
Zn1 Zn 0.0140 0.5070 0.8954
Zn2 Zn 0.0551 0.5276 0.6184
Cu1 Cu 0.0000 0.5000 0.0000
Au1 Au 0.0000 0.0000 0.5000

No. 3
# YZrSi2 (PBE, optimized geometry)
# VASP energy (eV per atom): -6.777
# ΔE_f (raw) (kcal/mol of atoms): -7.215
# Polymorph energy (0 for the lowest one) (eV per formula unit): 2.098
# Theoretical density (Mg/m³): 4.88
# Crystal system: cubic
data_YZrSi2
_chemical_formula_sum 'Y4 Zr4 Si8'
_symmetry_space_group_name_H-M 'F m -3 m'
_symmetry_Int_Tables_number 225
_symmetry_space_group_name_Hall '-F 4 2 3'
_cell_length_a 6.8493
_cell_length_b 6.8493
_cell_length_c 6.8493
_cell_angle_alpha 90.00
_cell_angle_beta 90.00
_cell_angle_gamma 90.00
loop_
_atom_site_label
_atom_site_type_symbol
_atom_site_fract_x
_atom_site_fract_y
_atom_site_fract_z
Y1 Y 0.0000 0.0000 0.0000
Zr1 Zr 0.0000 0.0000 0.5000
Si1 Si 0.2500 0.2500 0.2500

No. 4
# RbTl2CuRh (PBE, optimized geometry)
# VASP energy (eV per atom): -3.316
# Theoretical density (Mg/m³): 7.59
# Crystal system: tetragonal
data_RbTl2CuRh
_chemical_formula_sum 'Rb1 Tl2 Cu1 Rh1'
_symmetry_space_group_name_H-M 'P 4/m m m'
_symmetry_Int_Tables_number 123
_symmetry_space_group_name_Hall '-P 4 2'
_cell_length_a 5.3003
_cell_length_b 5.3003
_cell_length_c 5.1452
_cell_angle_alpha 90.00
_cell_angle_beta 90.00
_cell_angle_gamma 90.00
loop_
_atom_site_label
_atom_site_type_symbol
_atom_site_fract_x
_atom_site_fract_y
_atom_site_fract_z
Rb1 Rb 0.0000 0.0000 0.0000
Tl1 Tl 0.0000 0.5000 0.5000
Cu1 Cu 0.5000 0.5000 0.0000
Rh1 Rh 0.5000 0.5000 0.5000

No. 5
# Y3AgTe8Pb3 (PBE, optimized geometry)
# VASP energy (eV per atom): -4.671
# ΔE_f (raw) (kcal/mol of atoms): -17.784
# Theoretical density (Mg/m³): 6.54
# Crystal system: trigonal
data_Y3AgTe8Pb3
_chemical_formula_sum 'Y9 Ag3 Te24 Pb9'
_symmetry_space_group_name_H-M 'R -3 m'
_symmetry_Int_Tables_number 166
_symmetry_space_group_name_Hall '-R 3 2"'
_cell_length_a 8.8665
_cell_length_b 8.8665
_cell_length_c 22.5630
_cell_angle_alpha 90.00
_cell_angle_beta 90.00
_cell_angle_gamma 120.00
loop_
_atom_site_label
_atom_site_type_symbol
_atom_site_fract_x
_atom_site_fract_y
_atom_site_fract_z
Y1 Y 0.0000 0.5000 0.0000
Ag1 Ag 0.0000 0.0000 0.0000
Te1 Te 0.0000 0.0000 0.2546
Te2 Te 0.0022 0.5011 0.2564
Pb1 Pb 0.0000 0.5000 0.5000

No. 6
# Ce4Hg7Pb (PBE, optimized geometry)
# VASP energy (eV per atom): -2.595
# Theoretical density (Mg/m³): 10.19
# Crystal system: monoclinic
data_Ce4Hg7Pb
_chemical_formula_sum 'Ce8 Hg14 Pb2'
_symmetry_space_group_name_H-M 'C 1 2/m 1'
_symmetry_Int_Tables_number 12
_cell_length_a 12.8817
_cell_length_b 5.6724
_cell_length_c 11.4713
_cell_angle_alpha 90.00
_cell_angle_beta 122.41
_cell_angle_gamma 90.00
loop_
_symmetry_equiv_pos_as_xyz
'x,y,z'
'-x,-y,-z'
'-x,y,-z'
'x,-y,z'
'x+1/2,y+1/2,z'
'-x+1/2,-y+1/2,-z'
'-x+1/2,y+1/2,-z'
'x+1/2,-y+1/2,z'
loop_
_atom_site_label
_atom_site_type_symbol
_atom_site_fract_x
_atom_site_fract_y
_atom_site_fract_z
Ce1 Ce 0.0830 0.0000 0.2763
Ce2 Ce 0.2419 0.0000 0.8275
Hg1 Hg 0.0000 0.0000 0.5000
Hg2 Hg 0.0697 0.5000 0.8449
Hg3 Hg 0.1386 0.0000 0.0350
Hg4 Hg 0.2027 0.5000 0.4131
Pb1 Pb 0.0000 0.5000 0.5000

No. 7
# ZrSnSbO6 (PBE, optimized geometry)
# VASP energy (eV per atom): -7.067
# ΔE_f (raw) (kcal/mol of atoms): -44.023
# Theoretical density (Mg/m³): 5.83
# Crystal system: trigonal
data_ZrSnSbO6
_chemical_formula_sum 'Zr2 Sn2 Sb2 O12'
_symmetry_space_group_name_H-M 'P -3 1 c'
_symmetry_Int_Tables_number 163
_symmetry_space_group_name_Hall '-P 3 2c'
_cell_length_a 5.4502
_cell_length_b 5.4502
_cell_length_c 9.4720
_cell_angle_alpha 90.00
_cell_angle_beta 90.00
_cell_angle_gamma 120.00
loop_
_atom_site_label
_atom_site_type_symbol
_atom_site_fract_x
_atom_site_fract_y
_atom_site_fract_z
Zr1 Zr 0.3333 0.6667 0.2500
Sn1 Sn 0.0000 0.0000 0.0000
Sb1 Sb 0.3333 0.6667 0.7500
O1 O 0.0146 0.3591 0.6342

No. 8
# KTl4Pt2 (PBE, optimized geometry)
# VASP energy (eV per atom): -3.375
# Polymorph energy (0 for the lowest one) (eV per formula unit): 0.000
# Theoretical density (Mg/m³): 11.60
# Crystal system: orthorhombic
data_KTl4Pt2
_chemical_formula_sum 'K4 Tl16 Pt8'
_symmetry_space_group_name_H-M 'P n m a'
_symmetry_Int_Tables_number 62
_cell_length_a 19.5519
_cell_length_b 4.8244
_cell_length_c 7.5693
_cell_angle_alpha 90.00
_cell_angle_beta 90.00
_cell_angle_gamma 90.00
loop_
_symmetry_equiv_pos_as_xyz
'x,y,z'
'-x,-y,-z'
'-x+1/2,-y,z+1/2'
'x+1/2,y,-z+1/2'
'x+1/2,-y+1/2,-z+1/2'
'-x+1/2,y+1/2,z+1/2'
'-x,y+1/2,-z'
'x,-y+1/2,z'
loop_
_atom_site_label
_atom_site_type_symbol
_atom_site_fract_x
_atom_site_fract_y
_atom_site_fract_z
K1 K 0.1416 0.2500 0.0166
Tl1 Tl 0.0319 0.7500 0.8577
Tl2 Tl 0.0715 0.2500 0.4985
Tl3 Tl 0.1835 0.7500 0.3063
Tl4 Tl 0.1912 0.7500 0.7321
Pt1 Pt 0.0385 0.7500 0.2565
Pt2 Pt 0.2164 0.2500 0.5256